Density functional theory data (PBE) for a geometry-optimized TbPrZn4 structure.

Geometry as POSCAR:
```
TbPrZn4
1.0
-2.266 3.624 3.792
2.266 -3.624 3.792
2.266 3.624 -3.792
Tb Pr Zn
1 1 4
Cartesian
0.000 0.000 0.000
0.000 3.624 0.452
2.266 2.132 -1.076
2.266 1.470 1.441
0.000 1.492 2.716
0.000 2.154 5.233
```

## Properties
Formation enthalpy at 0 K in eV/atom: -0.37
Symmetry: Imm2
Total magnetic moment in μB/cell: 0.01

***

Density functional theory data (PBE) for a geometry-optimized TcBr structure.

Geometry as POSCAR:
```
TcBr
1.0
0.000 2.802 2.802
2.802 0.000 2.802
2.802 2.802 0.000
Tc Br
1 1
Cartesian
0.000 0.000 0.000
1.401 1.401 1.401
```

## Properties
Energy above the lowest structure with this stoichiometry in meV/atom: 128.4
Symmetry: F-43m
Total magnetic moment in μB/cell: 0.02

***

Density functional theory data (PBE) for a geometry-optimized TbHoSn2 structure.

Geometry as POSCAR:
```
TbHoSn2
1.0
3.335 0.000 0.000
0.000 3.103 6.146
0.000 -3.103 6.146
Tb Ho Sn
1 1 2
Cartesian
0.000 0.000 0.000
0.000 0.000 3.443
0.000 0.000 6.443
0.000 0.000 9.272
```

## Properties
Symmetry: Amm2
Total magnetic moment in μB/cell: 0.01

***

Density functional theory data (PBE) for a geometry-optimized TaIrO4 structure.

Geometry as POSCAR:
```
TaIrO4
1.0
3.393 -5.550 0.000
3.393 5.550 0.000
-3.358 0.000 3.518
Ta Ir O
2 2 8
Cartesian
0.874 4.569 2.638
2.553 -4.569 0.879
2.553 1.885 0.879
0.874 -1.885 2.638
1.116 3.332 1.114
1.063 0.432 0.627
-0.616 -0.432 2.385
3.990 3.332 0.645
-0.563 -3.332 2.873
4.043 0.432 1.132
2.364 -0.432 2.891
2.311 -3.332 2.404
```

## Properties
Symmetry: C2/c
Total magnetic moment in μB/cell: 0.00

***

Density functional theory data (PBE) for a geometry-optimized Ga2MoC structure.

Geometry as POSCAR:
```
Ga2MoC
1.0
2.966 0.000 0.000
-1.483 2.569 0.000
0.000 0.000 14.015
Ga Mo C
4 2 2
Cartesian
0.000 1.713 1.285
0.000 1.713 5.723
1.483 0.856 8.292
1.483 0.856 12.730
0.000 1.713 10.511
1.483 0.856 3.504
0.000 0.000 0.000
0.000 0.000 7.007
```

## Properties
Symmetry: P6_3/mmc
Total magnetic moment in μB/cell: 0.00

***

Density functional theory data (PBE) for a geometry-optimized CuBiPd2 structure.

Geometry as POSCAR:
```
CuBiPd2
1.0
0.000 3.257 3.257
3.257 0.000 3.257
3.257 3.257 0.000
Cu Bi Pd
1 1 2
Cartesian
0.000 0.000 0.000
4.886 4.886 4.886
1.629 1.629 1.629
3.257 3.257 3.257
```

## Properties
Symmetry: F-43m

***

Density functional theory data (PBE) for a geometry-optimized Ho2Ga3Si structure.

Geometry as POSCAR:
```
Ho2Ga3Si
1.0
4.026 0.000 0.000
0.000 4.151 0.000
0.000 0.000 7.184
Ho Ga Si
2 3 1
Cartesian
0.000 0.000 0.000
0.000 2.076 3.503
2.013 0.000 4.736
2.013 2.076 1.151
2.013 2.076 5.924
2.013 0.000 2.357
```

## Properties
Symmetry: Pmm2
Total magnetic moment in μB/cell: 0.02

***

Density functional theory data (PBE) for a geometry-optimized Ac4HgPb3 structure.

Geometry as POSCAR:
```
Ac4HgPb3
1.0
4.786 0.000 0.000
0.000 4.900 0.000
0.000 0.000 12.546
Ac Hg Pb
4 1 3
Cartesian
0.000 0.000 0.000
0.000 2.450 6.159
2.393 0.000 9.054
2.393 2.450 2.815
0.000 0.000 3.416
0.000 2.450 9.624
2.393 0.000 5.525
2.393 2.450 11.901
```

## Properties
Symmetry: Pmm2
Total magnetic moment in μB/cell: 0.65

***

Density functional theory data (PBE) for a geometry-optimized KCoNiSe3 structure.

Geometry as POSCAR:
```
KCoNiSe3
1.0
1.805 -7.379 0.000
1.805 7.379 0.000
0.000 0.000 9.608
K Co Ni Se
2 2 2 6
Cartesian
1.805 3.773 7.206
1.805 -3.773 2.402
0.000 0.000 0.000
0.000 0.000 4.804
1.805 0.502 2.402
1.805 -0.502 7.206
1.805 6.437 2.402
1.805 1.587 0.375
1.805 1.587 4.429
1.805 -1.587 5.179
1.805 -1.587 9.233
1.805 -6.437 7.206
```

## Properties
Symmetry: Cmcm
Total magnetic moment in μB/cell: 1.67

***

Density functional theory data (PBE) for a geometry-optimized BaLaCdTe3 structure.

Geometry as POSCAR:
```
BaLaCdTe3
1.0
2.313 -7.892 0.000
2.313 7.892 0.000
0.000 0.000 11.758
Ba La Cd Te
2 2 2 6
Cartesian
2.313 4.138 8.819
2.313 -4.138 2.940
0.000 0.000 0.000
0.000 0.000 5.879
2.313 0.410 2.940
2.313 -0.410 8.819
2.313 6.457 2.940
2.313 2.232 0.701
2.313 2.232 5.178
2.313 -2.232 6.580
2.313 -2.232 11.057
2.313 -6.457 8.819
```

## Properties
Symmetry: Cmcm
Total magnetic moment in μB/cell: 0.51

***

Density functional theory data (PBE) for a geometry-optimized KNbCu2S4 structure.

Geometry as POSCAR:
```
KNbCu2S4
1.0
7.468 0.000 0.000
0.000 9.174 2.766
0.000 -9.174 2.766
K Nb Cu S
2 2 4 8
Cartesian
1.867 -5.838 2.766
5.601 5.838 2.766
1.867 -2.058 1.363
5.601 2.058 1.363
0.000 0.000 1.470
1.867 -1.964 4.128
3.734 0.000 1.470
5.601 1.964 4.128
7.465 -1.960 2.726
0.003 1.960 2.726
1.867 -0.115 0.048
1.867 5.303 2.716
3.736 -1.960 2.726
3.731 1.960 2.726
5.601 0.115 0.048
5.601 -5.303 2.716
```

## Properties
Symmetry: Ama2
Total magnetic moment in μB/cell: 0.00

***

Density functional theory data (PBE) for a geometry-optimized BeAlFeIr structure.

Geometry as POSCAR:
```
BeAlFeIr
1.0
0.000 2.893 2.893
2.893 0.000 2.893
2.893 2.893 0.000
Be Al Fe Ir
1 1 1 1
Cartesian
0.000 0.000 0.000
1.447 1.447 1.447
2.893 2.893 2.893
4.340 4.340 4.340
```

## Properties
Energy above the lowest structure with this stoichiometry in meV/atom: 151.8
Symmetry: F-43m
Total magnetic moment in μB/cell: 2.74

***

no.,E_tot (eV per atom)
1,-2.778
2,-4.847
3,-4.222
4,-8.368
5,-5.826
6,-4.643
7,-4.577
8,-3.994
9,-4.470
10,-4.054
11,-5.234
12,-6.463